--- A ---
Material: Li2ZnBr
Method: DFT, PBEsol
State: relaxed

Calculated values
Size of the total moment = 0.00 μB per formula unit

a = 3.4856 Å, b = 4.6238 Å, c = 4.6238 Å
α = 90.00°, β = 90.00°, γ = 90.00°
Fractional positions:
Li (0.0000, 0.5000, 0.0000)
Li (0.0000, 0.0000, 0.5000)
Zn (0.5000, 0.0000, 0.0000)
Br (0.5000, 0.5000, 0.5000)

--- B ---
Material: Li2ZnBr
Method: DFT, PBEsol
State: relaxed

Calculated values
Size of the total moment = 0.00 μB per formula unit

a = 3.3886 Å, b = 3.3884 Å, c = 6.1455 Å
α = 90.00°, β = 90.71°, γ = 90.00°
Fractional positions:
Zn (0.5000, 0.5000, 0.0000)
Li (0.0059, 0.0000, 0.2388)
Li (0.9941, 0.0000, 0.7612)
Br (0.5000, 0.5000, 0.5000)

--- C ---
Material: Li2ZnBr
Method: DFT, PBEsol
State: relaxed

Calculated values
Size of the total moment = 0.00 μB per formula unit

a = 4.9539 Å, b = 4.9539 Å, c = 4.9539 Å
α = 60.00°, β = 60.00°, γ = 60.00°
Fractional positions:
Zn (0.2500, 0.2500, 0.2500)
Br (0.5000, 0.5000, 0.5000)
Li (0.7500, 0.7500, 0.7500)
Li (0.0000, 0.0000, 0.0000)

Which structure is the most stable? The one labeled B.

--- A ---
Material: LiZnBr2
Method: DFT, PBEsol
State: relaxed

Calculated values
Size of the total moment = 0.00 μB per formula unit

a = 3.7676 Å, b = 3.8459 Å, c = 7.5408 Å
α = 90.00°, β = 90.00°, γ = 119.33°
Fractional positions:
Zn (0.5000, 0.0000, 0.0000)
Li (0.5000, 0.0000, 0.5000)
Br (0.0000, 0.0000, 0.7327)
Br (0.0000, 0.0000, 0.2673)

--- B ---
Material: LiZnBr2
Method: DFT, PBEsol
State: relaxed

Calculated values
Size of the total moment = 0.00 μB per formula unit

a = 3.4740 Å, b = 4.8985 Å, c = 4.8985 Å
α = 90.00°, β = 90.00°, γ = 90.00°
Fractional positions:
Li (0.5000, 0.5000, 0.5000)
Zn (0.5000, 0.0000, 0.0000)
Br (0.0000, 0.5000, 0.0000)
Br (0.0000, 0.0000, 0.5000)

Which structure is the most stable? The one labeled A.

--- A ---
Material: Mg2MoBr
Method: DFT, PBEsol
State: relaxed

Calculated values
Size of the total moment = 3.50 μB per formula unit

a = 4.9620 Å, b = 4.9620 Å, c = 4.9620 Å
α = 60.00°, β = 60.00°, γ = 60.00°
Fractional positions:
Mg (0.2500, 0.2500, 0.2500)
Mg (0.7500, 0.7500, 0.7500)
Br (0.0000, 0.0000, 0.0000)
Mo (0.5000, 0.5000, 0.5000)

--- B ---
Material: Mg2MoBr
Method: DFT, PBEsol
State: relaxed

Calculated values
Size of the total moment = 2.61 μB per formula unit

a = 4.7974 Å, b = 4.7974 Å, c = 4.7974 Å
α = 60.00°, β = 60.00°, γ = 60.00°
Fractional positions:
Mg (0.7500, 0.7500, 0.7500)
Mg (0.0000, 0.0000, 0.0000)
Br (0.5000, 0.5000, 0.5000)
Mo (0.2500, 0.2500, 0.2500)

--- C ---
Material: Mg2MoBr
Method: DFT, PBEsol
State: relaxed

Calculated values
Size of the total moment = 0.21 μB per formula unit

a = 3.0415 Å, b = 5.1298 Å, c = 5.5728 Å
α = 106.23°, β = 105.84°, γ = 90.00°
Fractional positions:
Mg (0.7862, 0.3266, 0.5724)
Mg (0.9870, 0.9620, 0.9740)
Br (0.1995, 0.7547, 0.3990)
Mo (0.5273, 0.4567, 0.0546)

Which structure is the most stable? The one labeled C.

--- A ---
Material: MgSeBr2N
Method: DFT, PBEsol
State: relaxed

Calculated values
Size of the total moment = 0.00 μB per formula unit

a = 4.4101 Å, b = 4.4101 Å, c = 4.9457 Å
α = 90.00°, β = 90.00°, γ = 90.00°
Fractional positions:
Br (0.5000, 0.0000, 0.0000)
Br (0.0000, 0.5000, 0.0000)
N (0.0000, 0.0000, 0.0000)
Se (0.0000, 0.0000, 0.5000)
Mg (0.5000, 0.5000, 0.5000)

--- B ---
Material: MgSeBr2N
Method: DFT, PBEsol
State: relaxed

Calculated values
Size of the total moment = 4.98 μB per formula unit

a = 5.2259 Å, b = 5.2259 Å, c = 5.2270 Å
α = 90.00°, β = 90.00°, γ = 90.00°
Fractional positions:
Br (0.0000, 0.5000, 0.0000)
Br (0.5000, 0.0000, 0.0000)
Se (0.0000, 0.0000, 0.5000)
N (0.5000, 0.5000, 0.5000)
Mg (0.0000, 0.0000, 0.0000)

Which structure is the most stable? The one labeled A.

--- A ---
Material: MgNi2Br
Method: DFT, PBEsol
State: relaxed

Calculated values
Size of the total moment = 0.00 μB per formula unit

a = 3.0073 Å, b = 3.0073 Å, c = 7.8825 Å
α = 79.00°, β = 79.00°, γ = 60.00°
Fractional positions:
Ni (0.7543, 0.7543, 0.7370)
Ni (0.2457, 0.2457, 0.2630)
Br (0.5000, 0.5000, 0.5000)
Mg (0.0000, 0.0000, 0.0000)

--- B ---
Material: MgNi2Br
Method: DFT, PBEsol
State: relaxed

Calculated values
Size of the total moment = 0.00 μB per formula unit

a = 3.4815 Å, b = 3.9324 Å, c = 4.1340 Å
α = 90.00°, β = 90.00°, γ = 90.00°
Fractional positions:
Ni (0.0000, 0.0000, 0.0000)
Ni (0.5000, 0.0000, 0.5000)
Br (0.5000, 0.5000, 0.0000)
Mg (0.0000, 0.5000, 0.5000)

Which structure is the most stable? The one labeled B.

--- A ---
Material: MgNiBr2
Method: DFT, PBEsol
State: relaxed

Calculated values
Size of the total moment = 0.13 μB per formula unit

a = 4.6878 Å, b = 4.6878 Å, c = 4.6878 Å
α = 60.00°, β = 60.00°, γ = 60.00°
Fractional positions:
Br (0.2500, 0.2500, 0.2500)
Br (0.7500, 0.7500, 0.7500)
Ni (0.0000, 0.0000, 0.0000)
Mg (0.5000, 0.5000, 0.5000)

--- B ---
Material: MgNiBr2
Method: DFT, PBEsol
State: relaxed

Calculated values
Size of the total moment = 0.00 μB per formula unit

a = 4.9460 Å, b = 4.9453 Å, c = 4.9453 Å
α = 93.64°, β = 118.02°, γ = 118.02°
Fractional positions:
Ni (0.5000, 0.5000, 0.5000)
Br (0.0000, 0.5000, 0.0000)
Br (0.0000, 0.0000, 0.5000)
Mg (0.5000, 0.0000, 0.0000)

Which structure is the most stable? The one labeled B.